# Sc5Ag4Pd

A geometry-optimized Sc5Ag4Pd structure (PBE-GGA, Alexandria).

Properties
* formation energy from the elements: -0.40 eV/atom
* mass density: 6.4 Mg/m³
* SG: P4/mmm, No. 123

```
Sc5Ag4Pd
1.0
3.404 0.000 0.000
0.000 3.404 0.000
0.000 0.000 17.100
Sc Ag Pd
5 4 1
Direct
0.500 0.500 0.907 Sc
0.500 0.500 0.500 Sc
0.500 0.500 0.704 Sc
0.500 0.500 0.296 Sc
0.500 0.500 0.093 Sc
0.000 0.000 0.196 Ag
0.000 0.000 0.399 Ag
0.000 0.000 0.804 Ag
0.000 0.000 0.601 Ag
0.000 0.000 0.000 Pd
```

=====

# Pa3P4Rh7

A geometry-optimized Pa3P4Rh7 structure (PBE-GGA, Alexandria).

Properties
* formation energy from the elements: -1.04 eV/atom
* mass density: 11.3 Mg/m³
* SG: C2/m, No. 12

```
Pa3P4Rh7
1.0
3.835 0.000 0.967
1.415 7.312 2.475
0.007 -0.033 8.059
P Pa Rh
4 3 7
Direct
0.107 0.118 0.669 P
0.893 0.882 0.331 P
0.655 0.445 0.245 P
0.345 0.555 0.755 P
0.323 0.182 0.173 Pa
0.000 0.500 0.500 Pa
0.677 0.818 0.827 Pa
0.830 0.407 0.933 Rh
0.300 0.856 0.543 Rh
0.494 0.227 0.786 Rh
0.000 0.000 0.000 Rh
0.700 0.144 0.457 Rh
0.170 0.593 0.067 Rh
0.506 0.773 0.214 Rh
```

=====

# LiCrAu

A geometry-optimized LiCrAu structure (PBE-GGA, Alexandria).

Properties
* formation energy from the elements: 0.10 eV/atom
* mass density: 8.7 Mg/m³
* SG: Imm2, No. 44

```
LiCrAu
1.0
-3.284 0.517 3.582
0.783 -2.032 4.375
1.928 3.004 -3.338
Au Li Cr
1 1 1
Direct
0.002 0.002 0.000 Au
0.661 0.661 0.000 Li
0.338 0.338 0.000 Cr
```

=====

# NaTbDy

A geometry-optimized NaTbDy structure (PBE-GGA, Alexandria).

Properties
* formation energy from the elements: 0.16 eV/atom
* mass density: 5.8 Mg/m³
* SG: I4mm, No. 107

```
NaTbDy
1.0
3.490 0.000 0.000
0.000 3.490 0.000
-1.745 -1.745 8.130
Na Dy Tb
1 1 1
Direct
0.000 0.000 0.000 Na
0.676 0.676 0.352 Dy
0.324 0.324 0.648 Tb
```

=====

# Sn4Pt2Rh

A geometry-optimized Sn4Pt2Rh structure (PBE-GGA, Alexandria).

Properties
* formation energy from the elements: -0.09 eV/atom
* mass density: 9.4 Mg/m³
* SG: I4/mmm, No. 139

```
Sn4Pt2Rh
1.0
5.130 0.000 0.000
0.000 5.130 0.000
2.565 2.565 6.503
Sn Rh Pt
4 1 2
Direct
0.000 0.500 0.000 Sn
0.801 0.801 0.398 Sn
0.199 0.199 0.602 Sn
0.500 0.000 0.000 Sn
0.000 0.000 0.000 Rh
0.604 0.604 0.791 Pt
0.396 0.396 0.209 Pt
```

=====

# In2HgPd2

A geometry-optimized In2HgPd2 structure (PBE-GGA, Alexandria).

Properties
* formation energy from the elements: -0.12 eV/atom
* mass density: 9.8 Mg/m³
* SG: I4/mmm, No. 139

```
In2HgPd2
1.0
-1.707 -3.679 0.998
2.081 -1.816 -3.133
4.954 -3.916 2.777
Hg In Pd
1 2 2
Direct
0.000 0.000 0.000 Hg
0.250 0.750 0.500 In
0.750 0.250 0.500 In
0.607 0.607 0.786 Pd
0.393 0.393 0.214 Pd
```

=====

# KCrBi2Br

A geometry-optimized KCrBi2Br structure (PBE-GGA, Alexandria).

Properties
* total DFT energy (no corrections): -3.536 eV/atom
* mass density: 5.3 Mg/m³
* SG: P4/mmm, No. 123

```
KCrBi2Br
1.0
6.078 0.000 0.000
0.000 6.078 0.000
0.000 0.000 4.949
Cr K Bi Br
1 1 2 1
Direct
0.000 0.000 0.500 Cr
0.500 0.500 0.500 K
0.000 0.500 0.000 Bi
0.500 0.000 0.000 Bi
0.000 0.000 0.000 Br
```

=====

# NdTeO5

A geometry-optimized NdTeO5 structure (PBE-GGA, Alexandria).

Properties
* total DFT energy (no corrections): -6.371 eV/atom
* mass density: 5.4 Mg/m³
* SG: C2/c, No. 15

```
NdTeO5
1.0
5.697 0.003 -0.016
1.810 5.402 -0.016
2.675 1.926 7.068
O Te Nd
10 2 2
Direct
0.706 0.278 0.969 O
0.211 0.238 0.886 O
0.278 0.706 0.469 O
0.920 0.080 0.250 O
0.080 0.920 0.750 O
0.762 0.789 0.614 O
0.722 0.294 0.531 O
0.294 0.722 0.031 O
0.789 0.762 0.114 O
0.238 0.211 0.386 O
0.000 0.000 0.500 Te
0.000 0.000 0.000 Te
0.455 0.545 0.750 Nd
0.545 0.455 0.250 Nd
```